Compound: KPm3Nd2Se6
Source: the Alexandria database
Functional: PBE
Structure: relaxed

The calculated volume is 27.4 Å³/atom. For the uncorrected formation energy, the calculation gives -21.476 eV/f.u. Its total energy is -134.5 eV for the cell shown. The total magnetization comes out at 0.00 Bohr magnetons per cell.

The structure belongs to space group C2/m (No. 12); the cell edges are 18.601, 4.220 and 8.615 Å and the angles 90.00°, 103.56° and 90.00°. Symmetry generates all atoms from K at (0.000, 0.000, 0.000), Pm at (0.000, 0.000, 0.500), Pm at (0.164, 0.500, 0.824), Nd at (0.170, 0.500, 0.344), Se at (0.002, 0.500, 0.264), Se at (0.164, 0.000, 0.586) and Se at (0.172, 0.000, 0.083).